Below is a relaxed LiCaCd crystal, with properties calculated at the GGA-PBE level.

Cell lengths 4.9582, 6.0712, 6.2016 Å; angles 83.42, 67.05, 66.15 degrees
Fractional coordinates of all 6 atoms:
Li 0.0822 0.0795 0.2565
Li 0.9178 0.9205 0.7435
Ca 0.2412 0.3130 0.7037
Ca 0.7588 0.6870 0.2963
Cd 0.4528 0.7245 0.8714
Cd 0.5472 0.2755 0.1286

Calculated values
- Formation enthalpy at 0 K: -223 meV per atom
- Space-group type: P-1 (2)
- Calculated total energy: -1.833 eV/atom
- Mass density: 3.37 Mg/m³